No. 1
A relaxed structure of Fe2SiRh. Source: the Alexandria database, functional PBE-GGA.

Calculated values
The value obtained for the uncorrected formation energy is -0.321 eV per atom. For the density, the calculation gives 8.19 g cm⁻³.

abc: 3.0035 3.9751 4.1206
angles: 90.00 90.00 90.00
Last column: nearest neighbours and their distance in Å.
Element x y z (fractional)
Fe 0.0000 0.0000 0.0000  4 Fe 2.49, 4 Rh 2.55
Fe 0.5000 0.5000 0.0000  4 Fe 2.49, 4 Si 2.55
Si 0.0000 0.5000 0.5000  4 Rh 2.49, 4 Fe 2.55
Rh 0.5000 0.0000 0.5000  4 Si 2.49, 4 Fe 2.55

---

No. 2
A relaxed structure of Fe2SiRh. Source: the Alexandria database, functional PBE-GGA.

Calculated values
The value obtained for the uncorrected formation energy is -0.265 eV per atom. For the density, the calculation gives 8.12 g cm⁻³.

abc: 4.6947 4.6947 4.6947
angles: 135.80 135.80 64.29
Last column: nearest neighbours and their distance in Å.
Element x y z (fractional)
Fe 0.2500 0.7500 0.5000  4 Fe 2.50, 4 Rh 2.66, 4 Si 2.66
Fe 0.7500 0.2500 0.5000  4 Fe 2.50, 4 Rh 2.66, 4 Si 2.66
Si 0.0000 0.0000 0.0000  4 Rh 2.50, 8 Fe 2.66
Rh 0.5000 0.5000 0.0000  4 Si 2.50, 8 Fe 2.66

---

Number 1: V 49 Å³ per cell, size of the total moment 4.89 μB per formula unit. Number 2: V 50 Å³ per cell, size of the total moment 4.90 μB per formula unit.